# 1
Ni2PCl | PBE | optimized geometry

Cell: 5.9420 5.9420 5.9420 Å, 90.00 90.00 90.00°
Space group Fm-3m (No. 225)
Asymmetric unit:
Ni1 0.2500 0.2500 0.2500 [8 per cell]
P1 0.0000 0.0000 0.0000 [4 per cell]
Cl1 0.0000 0.0000 0.5000 [4 per cell]

formation energy from raw total energies: 0.3305 eV per atom
magnetic moment: 0.00 μB per formula unit
energy relative to the lowest polymorph listed for this composition: 0.650 eV/atom

---

# 2
LiAl2Te | PBE | optimized geometry

Cell: 3.7536 3.7536 23.6695 Å, 90.00 90.00 120.00°
Space group R-3m (No. 166, hexagonal axes)
Asymmetric unit:
Li1 0.0000 0.0000 0.0000 [3 per cell]
Al1 0.0000 0.0000 0.2465 [6 per cell]
Te1 0.0000 0.0000 0.5000 [3 per cell]

formation energy from raw total energies: 0.0872 eV per atom
magnetic moment: 0.00 μB per formula unit

---

# 3
YTaSb2I | PBE | optimized geometry

Cell: 5.3819 5.3819 5.5083 Å, 90.00 90.00 90.00°
Space group P4/mmm (No. 123)
Asymmetric unit:
Y1 0.0000 0.0000 0.0000 [1 per cell]
Ta1 0.5000 0.5000 0.5000 [1 per cell]
Sb1 0.0000 0.5000 0.5000 [2 per cell]
I1 0.5000 0.5000 0.0000 [1 per cell]

formation energy from raw total energies: 0.2935 eV per atom
magnetic moment: 0.00 μB per formula unit
energy relative to the lowest polymorph listed for this composition: 0.000 eV/atom

---

# 4
CsAgBiCl5 | PBE | optimized geometry

Cell: 9.1889 12.8469 10.4033 Å, 90.00 111.29 90.00°
Space group C2/c (No. 15)
Asymmetric unit:
Cs1 0.0000 0.1563 0.2500 [4 per cell]
Ag1 0.0000 0.1901 0.7500 [4 per cell]
Bi1 0.0000 0.5000 0.0000 [4 per cell]
Cl1 0.0000 0.4310 0.2500 [4 per cell]
Cl2 0.0970 0.3024 0.5890 [8 per cell]
Cl3 0.1970 0.0637 0.9307 [8 per cell]

formation energy from raw total energies: -1.1416 eV per atom
magnetic moment: 0.00 μB per formula unit

---

# 5
ZrAl2Si2 | PBE | optimized geometry

Cell: 9.5404 5.2137 7.4598 Å, 90.00 117.15 90.00°
Space group C2/c (No. 15)
Asymmetric unit:
Zr1 0.0000 0.1211 0.2500 [4 per cell]
Al1 0.1084 0.3800 0.9535 [8 per cell]
Si1 0.2084 0.1601 0.6646 [8 per cell]

formation energy from raw total energies: -0.2152 eV per atom
magnetic moment: 0.00 μB per formula unit

---

# 6
Sc2AlGa | PBE | optimized geometry

Cell: 3.3006 3.3006 26.4187 Å, 90.00 90.00 120.00°
Space group R-3m (No. 166, hexagonal axes)
Asymmetric unit:
Sc1 0.0000 0.0000 0.2481 [6 per cell]
Al1 0.0000 0.0000 0.0000 [3 per cell]
Ga1 0.0000 0.0000 0.5000 [3 per cell]

magnetic moment: 0.00 μB per formula unit
ΔH_f (0 K): -0.33 eV/atom

---

# 7
TaSiSnCl2 | PBE | optimized geometry

Cell: 4.6517 4.6517 5.9006 Å, 90.00 90.00 90.00°
Space group P4/mmm (No. 123)
Asymmetric unit:
Ta1 0.0000 0.0000 0.0000 [1 per cell]
Si1 0.5000 0.5000 0.5000 [1 per cell]
Sn1 0.0000 0.0000 0.5000 [1 per cell]
Cl1 0.0000 0.5000 0.0000 [2 per cell]

formation energy from raw total energies: 0.2538 eV per atom
magnetic moment: 0.75 μB per formula unit

---

# 8
Sr2Li16Tl | PBE | optimized geometry

Cell: 10.2862 10.2862 14.7315 Å, 90.00 90.00 120.00°
Space group R3m (No. 160, hexagonal axes)
Asymmetric unit:
Sr1 0.0000 0.0000 0.0000 [3 per cell]
Sr2 0.0000 0.0000 0.3072 [3 per cell]
Li1 0.0000 0.0000 0.5574 [3 per cell]
Li2 0.9999 0.2798 0.6559 [18 per cell]
Li3 0.0139 0.5070 0.5061 [9 per cell]
Li4 0.1704 0.3408 0.1370 [9 per cell]
Li5 0.1713 0.3427 0.4883 [9 per cell]
Tl1 0.0000 0.0000 0.7544 [3 per cell]

magnetic moment: 0.00 μB per formula unit
ΔH_f (0 K): -0.03 eV/atom

---

# 9
KRu2W | PBE | optimized geometry

Cell: 3.0012 5.5540 9.4314 Å, 90.00 90.00 90.00°
Space group Immm (No. 71)
Asymmetric unit:
K1 0.0000 0.0000 0.0000 [2 per cell]
Ru1 0.0000 0.5000 0.2067 [4 per cell]
W1 0.0000 0.0000 0.5000 [2 per cell]

magnetic moment: 0.26 μB per formula unit
energy relative to the lowest polymorph listed for this composition: 0.559 eV/atom
ΔH_f (0 K): 1.16 eV/atom

---

# 10
Nd3Er4Tl4 | PBE | optimized geometry

Cell: 3.8386 9.8062 17.9682 Å, 90.00 90.00 90.00°
Space group Immm (No. 71)
Asymmetric unit:
Nd1 0.0000 0.0000 0.0000 [2 per cell]
Nd2 0.0000 0.5000 0.1037 [4 per cell]
Er1 0.0000 0.2971 0.3321 [8 per cell]
Tl1 0.0000 0.0000 0.2495 [4 per cell]
Tl2 0.0000 0.2202 0.5000 [4 per cell]

magnetic moment: 1.32 μB per formula unit
ΔH_f (0 K): -0.23 eV/atom

---

# 11
Tb5Ta2O12 | PBE | optimized geometry

Cell: 12.4915 5.9160 7.4718 Å, 90.00 107.46 90.00°
Space group C2/m (No. 12)
Asymmetric unit:
Tb1 0.0000 0.0000 0.0000 [2 per cell]
Tb2 0.1917 0.5000 0.3256 [4 per cell]
Tb3 0.1984 0.5000 0.8629 [4 per cell]
Ta1 0.0000 0.2413 0.5000 [4 per cell]
O1 0.0008 0.0000 0.3069 [4 per cell]
O2 0.0012 0.5000 0.3073 [4 per cell]
O3 0.1544 0.2504 0.0744 [8 per cell]
O4 0.1648 0.2650 0.5846 [8 per cell]

formation energy from raw total energies: -3.3433 eV per atom
magnetic moment: 0.00 μB per formula unit

---

# 12
La2NdGd | PBE | optimized geometry

Cell: 3.7028 3.7028 10.3598 Å, 90.00 90.00 90.00°
Space group P4/mmm (No. 123)
Asymmetric unit:
La1 0.0000 0.0000 0.2482 [2 per cell]
Nd1 0.5000 0.5000 0.5000 [1 per cell]
Gd1 0.5000 0.5000 0.0000 [1 per cell]

magnetic moment: 7.61 μB per formula unit
energy relative to the lowest polymorph listed for this composition: 0.005 eV/atom
ΔH_f (0 K): 0.02 eV/atom